Model 1:
## Li2AlPb2 (GGA-PBE)

Data for crystalline Li2AlPb2 at its relaxed geometry.

Lattice parameters (Å, degrees): 8.150 8.150 3.414 90.00 90.00 90.00
Space group P4/mbm (No. 127)
Inequivalent atoms, fractional coordinates:
1 Li 0.161 0.339 0.000 x4
2 Al 0.000 0.000 0.500 x2
3 Pb 0.141 0.641 0.500 x4

=====

Model 2:
## Li2AlPb2 (GGA-PBE)

Data for crystalline Li2AlPb2 at its relaxed geometry.

Lattice parameters (Å, degrees): 7.808 7.808 3.586 90.00 90.00 90.00
Space group P4/mbm (No. 127)
Inequivalent atoms, fractional coordinates:
1 Li 0.125 0.375 0.000 x4
2 Al 0.000 0.000 0.000 x2
3 Pb 0.176 0.676 0.500 x4

=====

Relative to the most stable structure, the computed energies are model 1 1.2; model 2 0.0, all in kJ/mol of atoms.

=====

Model 1:
## Li6AlPd2 (GGA-PBE)

Data for crystalline Li6AlPd2 at its relaxed geometry.

Lattice parameters (Å, degrees): 7.221 13.381 2.942 90.00 98.85 90.00
Space group C2/m (No. 12)
Inequivalent atoms, fractional coordinates:
1 Li 0.173 0.000 0.348 x4
2 Li 0.175 0.173 0.828 x8
3 Al 0.000 0.500 0.000 x2
4 Pd 0.000 0.347 0.500 x4

=====

Model 2:
## Li6AlPd2 (GGA-PBE)

Data for crystalline Li6AlPd2 at its relaxed geometry.

Lattice parameters (Å, degrees): 4.4654 4.4654 26.4146 90.00 90.00 120.00
Space group R-3m (No. 166, hexagonal axes)
Inequivalent atoms, fractional coordinates:
1 Li 0.0000 0.0000 0.0840 x6
2 Li 0.0000 0.0000 0.2059 x6
3 Li 0.0000 0.0000 0.3079 x6
4 Al 0.0000 0.0000 0.5000 x3
5 Pd 0.0000 0.0000 0.4093 x6

=====

Relative to the most stable structure, the computed energies are model 1 0.0; model 2 3.8, all in kJ/mol of atoms.

=====

Model 1:
## LiAl3Pd (GGA-PBE)

Data for crystalline LiAl3Pd at its relaxed geometry.

Lattice parameters (Å, degrees): 6.584 6.336 9.251 90.00 127.72 90.00
Space group P2_1/c (No. 14)
Inequivalent atoms, fractional coordinates:
1 Li 0.075 0.139 0.124 x4
2 Al 0.275 0.600 0.936 x4
3 Al 0.279 0.154 0.936 x4
4 Al 0.474 0.618 0.725 x4
5 Pd 0.139 0.621 0.180 x4

=====

Model 2:
## LiAl3Pd (GGA-PBE)

Data for crystalline LiAl3Pd at its relaxed geometry.

Lattice parameters (Å, degrees): 4.758 4.758 4.758 90.00 90.00 90.00
Space group Pm-3m (No. 221)
Inequivalent atoms, fractional coordinates:
1 Li 0.000 0.000 0.000 x1
2 Al 0.000 0.500 0.500 x3
3 Pd 0.500 0.500 0.500 x1

=====

Model 3:
## LiAl3Pd (GGA-PBE)

Data for crystalline LiAl3Pd at its relaxed geometry.

Lattice parameters (Å, degrees): 8.397 3.754 11.053 90.00 90.00 90.00
Space group Pnma (No. 62)
Inequivalent atoms, fractional coordinates:
1 Li 0.151 0.250 0.008 x4
2 Al 0.041 0.250 0.412 x4
3 Al 0.059 0.750 0.212 x4
4 Al 0.192 0.750 0.785 x4
5 Pd 0.162 0.250 0.627 x4

=====

Relative to the most stable structure, the computed energies are model 1 0.0; model 2 32.6; model 3 1.3, all in kJ/mol of atoms.